(1)
Computed, not measured: a relaxed SnBP3 crystal at the PBE level of DFT.

```
SnBP3
1.0
5.0472 0.0000 0.0000
0.0000 5.0472 0.0000
0.0000 0.0000 5.0472
Sn B P
1 1 3
Cartesian
0.0000 0.0000 0.0000
2.5236 2.5236 2.5236
0.0000 0.0000 2.5236
0.0000 2.5236 0.0000
2.5236 0.0000 0.0000
```

Space-group type: No. 221
Density, Mg/m³: 2.87
VASP energy, eV per cell: -16.7
Spin magnetization, μB per formula unit: 0.0

---

(2)
Computed, not measured: a relaxed Pa2C2S crystal at the PBE level of DFT.

```
Pa2C2S
1.0
4.7271 -3.9476 0.0000
4.7271 3.9476 0.0000
-4.6237 0.0000 4.9872
Pa C S
4 4 2
Cartesian
0.7622 1.0287 1.1981
-1.5496 -1.0287 3.6917
6.3800 1.0287 1.2955
4.0682 -1.0287 3.7891
-1.1216 0.9867 2.6265
1.1902 -0.9867 0.1329
3.6402 0.9867 4.8543
5.9521 -0.9867 2.3607
3.5711 1.0029 1.2468
1.2593 -1.0029 3.7404
```

Space-group type: No. 15
ΔE_f (raw), eV/atom: -0.668
Density, Mg/m³: 9.25
VASP energy, eV per cell: -89.8
Spin magnetization, μB per formula unit: 0.0

---

(3)
Computed, not measured: a relaxed TaHgH2 crystal at the PBE level of DFT.

```
TaHgH2
1.0
-2.0740 2.0740 5.8087
2.0740 -2.0740 5.8087
2.0740 2.0740 -5.8087
Ta Hg H
2 2 4
Cartesian
0.0000 0.0000 0.0000
0.0000 2.0740 2.9044
2.0740 0.0000 2.9044
0.0000 0.0000 5.8087
0.2082 1.0370 1.4522
-1.0370 1.8657 4.3566
-0.2082 3.1110 1.4522
1.0370 2.2822 4.3566
```

Space-group type: No. 122
Density, Mg/m³: 12.75
VASP energy, eV per cell: -34.7
Spin magnetization, μB per formula unit: 0.0

---

Which of these has the lowest density?
SnBP3